No. 1
A relaxed structure of Dy4TlIn3. Source: Alexandria via LeMat-Bulk, functional GGA-PBE.

abc: 3.7585 3.7585 15.1567
angles: 90.00 90.00 90.00
With the nearest neighbours (Å) after each atom.
Space group P4/mmm (No. 123)
Asymmetric unit:
Dy (0.0000, 0.0000, 0.1235) [2 per cell]  8 In 3.25-3.26
Dy (0.0000, 0.0000, 0.3721) [2 per cell]  4 In 3.26, 4 Tl 3.29
Tl (0.5000, 0.5000, 0.5000) [1 per cell]  8 Dy 3.29
In (0.5000, 0.5000, 0.0000) [1 per cell]  8 Dy 3.25
In (0.5000, 0.5000, 0.2478) [2 per cell]  8 Dy 3.26

Summary:
The calculation puts the formation enthalpy at 0 K at -3.495 eV/f.u. The value obtained for the final energy is -4.0606 eV per atom.



No. 2
A relaxed structure of Dy3TlIn. Source: Alexandria via LeMat-Bulk, functional GGA-PBE.

abc: 5.0314 22.2547 5.0305
angles: 90.00 90.00 90.00
With the nearest neighbours (Å) after each atom.
Space group Cmcm (No. 63)
Asymmetric unit:
Dy (0.0000, 0.0572, 0.2500) [4 per cell]  2 Tl 3.30, 2 In 3.31, 8 Dy 3.56-3.59
Dy (0.0000, 0.2499, 0.2500) [4 per cell]  4 In 3.30, 4 Tl 3.31, 4 Dy 3.56
Dy (0.0000, 0.4423, 0.2500) [4 per cell]  2 Tl 3.30, 2 In 3.30, 8 Dy 3.56-3.59
Tl (0.0000, 0.3466, 0.7500) [4 per cell]  8 Dy 3.30-3.31, 4 In 3.56
In (0.0000, 0.1540, 0.7500) [4 per cell]  8 Dy 3.30-3.31, 4 Tl 3.56

Summary:
The calculation puts the formation enthalpy at 0 K at -1.628 eV/f.u. The value obtained for the final energy is -4.1078 eV per atom.



No. 3
A relaxed structure of DyTlIn2. Source: Alexandria via LeMat-Bulk, functional GGA-PBE.

abc: 7.6323 7.6323 7.6323
angles: 90.00 90.00 90.00
With the nearest neighbours (Å) after each atom.
Space group Fm-3m (No. 225)
Asymmetric unit:
Dy (0.0000, 0.0000, 0.0000) [4 per cell]  8 In 3.30
Tl (0.0000, 0.0000, 0.5000) [4 per cell]  8 In 3.30
In (0.2500, 0.2500, 0.2500) [8 per cell]  4 Tl 3.30, 4 Dy 3.30

Summary:
The calculation puts the formation enthalpy at 0 K at -0.375 eV/f.u. The value obtained for the final energy is -3.2051 eV per atom.



No. 4
A relaxed structure of Dy4TlIn3. Source: Alexandria via LeMat-Bulk, functional GGA-PBE.

abc: 4.3136 4.5992 11.4904
angles: 90.00 90.00 90.00
With the nearest neighbours (Å) after each atom.
Space group Pmm2 (No. 25)
Asymmetric unit:
Dy (0.0000, 0.0000, 0.0000) [1 per cell]  5 In 3.18-3.20, 2 Tl 3.49
Dy (0.0000, 0.5000, 0.4973) [1 per cell]  1 Tl 3.14, 6 In 3.20-3.42
Dy (0.5000, 0.0000, 0.7275) [1 per cell]  3 In 3.19-3.45, 4 Tl 3.19
Dy (0.5000, 0.5000, 0.2266) [1 per cell]  7 In 3.17-3.45
Tl (0.0000, 0.5000, 0.7710) [1 per cell]  2 In 2.99, 5 Dy 3.14-3.19
In (0.0000, 0.0000, 0.2765) [1 per cell]  2 In 2.94, 5 Dy 3.18-3.20
In (0.5000, 0.0000, 0.4502) [1 per cell]  2 In 2.94, 5 Dy 3.19-3.20
In (0.5000, 0.5000, 0.9508) [1 per cell]  2 Tl 2.99, 5 Dy 3.17-3.20

Summary:
The calculation puts the formation enthalpy at 0 K at -3.154 eV/f.u. The value obtained for the final energy is -4.0179 eV per atom.



No. 5
A relaxed structure of Dy8Tl2In. Source: Alexandria via LeMat-Bulk, functional GGA-PBE.

abc: 16.3689 5.3295 8.5749
angles: 90.00 120.74 90.00
With the nearest neighbours (Å) after each atom.
Space group C2/m (No. 12)
Asymmetric unit:
Dy (0.0642, 0.0000, 0.2189) [4 per cell]  1 Tl 3.12, 5 Dy 3.23-3.45
Dy (0.0912, 0.5000, 0.9499) [4 per cell]  3 Tl 3.27-3.39, 1 In 3.35, 3 Dy 3.45-3.50
Dy (0.1371, 0.0000, 0.6821) [4 per cell]  3 Tl 3.27-3.35, 2 In 3.32, 3 Dy 3.51-3.63
Dy (0.1802, 0.5000, 0.4454) [4 per cell]  1 In 3.21, 1 Tl 3.21, 4 Dy 3.27-3.32
Tl (0.2230, 0.0000, 0.1205) [4 per cell]  8 Dy 3.12-3.39
In (0.0000, 0.5000, 0.5000) [2 per cell]  8 Dy 3.21-3.35

Summary:
The calculation puts the formation enthalpy at 0 K at -2.369 eV/f.u. The value obtained for the final energy is -4.2415 eV per atom.



No. 6
A relaxed structure of Dy5Tl4In. Source: Alexandria via LeMat-Bulk, functional GGA-PBE.

abc: 3.7527 3.7527 19.2855
angles: 90.00 90.00 90.00
With the nearest neighbours (Å) after each atom.
Space group P4/mmm (No. 123)
Asymmetric unit:
Dy (0.0000, 0.0000, 0.0000) [1 per cell]  8 Tl 3.29
Dy (0.0000, 0.0000, 0.2013) [2 per cell]  8 Tl 3.28-3.29
Dy (0.0000, 0.0000, 0.4021) [2 per cell]  4 In 3.26, 4 Tl 3.29
Tl (0.5000, 0.5000, 0.1007) [2 per cell]  8 Dy 3.29
Tl (0.5000, 0.5000, 0.3015) [2 per cell]  8 Dy 3.28-3.29
In (0.5000, 0.5000, 0.5000) [1 per cell]  8 Dy 3.26

Summary:
The calculation puts the formation enthalpy at 0 K at -3.662 eV/f.u. The value obtained for the final energy is -3.8876 eV per atom.



Question: Look up the formation enthalpy at 0 K of the fourth one.
Answer: -3.154 eV/f.u.



Question: Look up the final energy of the first one.
Answer: -4.0606 eV per atom



Question: Number 5 is which compound?
Answer: Dy8Tl2In